VASP calculation (PBE-GGA) on MgAlIrPd after structural relaxation.

Summary:
Energy relative to the elements   -0.751 eV per atom
Density   9.92 g cm⁻³
Fermi-level density of states   0.2808 states/eV per atom

Lattice parameters (Å, degrees): 4.359 4.359 4.359 60.00 60.00 60.00
Element x y z (fractional)
Mg  0.500  0.500  0.500
Ir  0.250  0.250  0.250
Al  0.000  0.000  0.000
Pd  0.750  0.750  0.750

***

VASP calculation (PBE-GGA) on KSrCo2 after structural relaxation.

Summary:
Energy relative to the elements   0.542 eV per atom
Density   3.79 g cm⁻³
Fermi-level density of states   0.9317 states/eV per atom
Energy above the lowest structure with this stoichiometry   171 meV/atom

Lattice parameters (Å, degrees): 3.371 3.371 9.434 90.00 90.00 90.00
Element x y z (fractional)
Co  0.000  0.000  0.091
Co  0.500  0.500  0.141
K  0.000  0.000  0.422
Sr  0.500  0.500  0.847

***

VASP calculation (PBE-GGA) on InGaBi2Pd after structural relaxation.

Summary:
Energy relative to the elements   0.320 eV per atom
Density   8.01 g cm⁻³
Fermi-level density of states   0.8722 states/eV per atom

Lattice parameters (Å, degrees): 5.563 4.747 5.563 90.00 90.00 90.00
Element x y z (fractional)
Ga  0.000  0.000  0.000
Bi  0.000  0.000  0.500
Bi  0.500  0.000  0.000
Pd  0.000  0.500  0.000
In  0.500  0.500  0.500

***

VASP calculation (PBE-GGA) on Tb7CeIn4 after structural relaxation.

Summary:
Energy relative to the elements   -0.102 eV per atom
Density   7.93 g cm⁻³
Fermi-level density of states   1.3227 states/eV per atom

Lattice parameters (Å, degrees): 5.634 9.287 7.832 74.46 68.92 72.34
Element x y z (fractional)
Tb  0.792  0.879  0.537
Tb  0.208  0.121  0.463
Tb  0.065  0.601  0.268
Tb  0.935  0.399  0.732
Tb  0.275  0.668  0.782
Tb  0.500  0.000  0.000
Tb  0.725  0.332  0.218
Ce  0.000  0.000  0.000
In  0.560  0.246  0.635
In  0.440  0.754  0.365
In  0.680  0.665  0.975
In  0.320  0.335  0.025

***

VASP calculation (PBE-GGA) on AcGe2Pb after structural relaxation.

Summary:
Energy relative to the elements   -0.352 eV per atom
Density   8.70 g cm⁻³
Fermi-level density of states   0.6271 states/eV per atom
Energy above the lowest structure with this stoichiometry   0 meV/atom

Lattice parameters (Å, degrees): 4.999 7.000 12.645 90.00 90.00 90.00
Element x y z (fractional)
Ac  0.750  0.336  0.351
Ac  0.250  0.664  0.649
Ac  0.750  0.836  0.149
Ac  0.250  0.164  0.851
Ge  0.250  0.017  0.314
Ge  0.750  0.983  0.686
Ge  0.250  0.517  0.186
Ge  0.750  0.483  0.814
Ge  0.250  0.152  0.125
Ge  0.750  0.848  0.875
Ge  0.250  0.652  0.375
Ge  0.750  0.348  0.625
Pb  0.750  0.342  0.053
Pb  0.250  0.658  0.947
Pb  0.750  0.842  0.447
Pb  0.250  0.158  0.553

***

VASP calculation (PBE-GGA) on K2SrNbSe4 after structural relaxation.

Summary:
Energy relative to the elements, uncorrected   -1.114 eV per atom
Density   3.24 g cm⁻³
Fermi-level density of states   0.5372 states/eV per atom

Lattice parameters (Å, degrees): 7.330 7.330 7.330 98.05 115.46 115.46
Element x y z (fractional)
K  0.500  0.750  0.250
K  0.000  0.000  0.000
Sr  0.500  0.250  0.750
Nb  0.000  0.500  0.500
Se  0.604  0.414  0.433
Se  0.020  0.190  0.586
Se  0.980  0.567  0.171
Se  0.396  0.829  0.810

***

VASP calculation (PBE-GGA) on CaTa2Se after structural relaxation.

Summary:
Energy relative to the elements, uncorrected   0.592 eV per atom
Density   9.26 g cm⁻³
Fermi-level density of states   1.4105 states/eV per atom

Lattice parameters (Å, degrees): 3.026 5.190 5.488 90.00 90.00 90.00
Element x y z (fractional)
Ca  0.500  0.500  0.250
Se  0.500  0.500  0.750
Ta  0.000  0.000  0.009
Ta  0.000  0.000  0.491

***

VASP calculation (PBE-GGA) on LaNi3H after structural relaxation.

Summary:
Density   4.83 g cm⁻³
Fermi-level density of states   0.1142 states/eV per atom
Energy above the lowest structure with this stoichiometry   1819 meV/atom

Lattice parameters (Å, degrees): 4.771 4.771 4.771 90.00 90.00 90.00
Element x y z (fractional)
Ni  0.000  0.500  0.000
Ni  0.000  0.000  0.500
Ni  0.500  0.000  0.000
H  0.500  0.500  0.500
La  0.000  0.000  0.000

***

VASP calculation (PBE-GGA) on Tb4CeY4 after structural relaxation.

Summary:
Energy relative to the elements   0.045 eV per atom
Density   6.51 g cm⁻³
Fermi-level density of states   1.6920 states/eV per atom

Lattice parameters (Å, degrees): 5.058 7.965 7.965 84.21 71.48 71.48
Element x y z (fractional)
Tb  0.667  0.333  0.333
Tb  0.333  0.667  0.667
Tb  0.000  0.667  0.333
Tb  0.000  0.333  0.667
Ce  0.000  0.000  0.000
Y  0.665  0.669  0.000
Y  0.335  0.331  0.000
Y  0.665  0.000  0.669
Y  0.335  0.000  0.331

***

VASP calculation (PBE-GGA) on SbOsPb2 after structural relaxation.

Summary:
Energy relative to the elements, uncorrected   0.447 eV per atom
Density   11.59 g cm⁻³
Fermi-level density of states   0.6565 states/eV per atom

Lattice parameters (Å, degrees): 7.634 7.634 7.634 154.54 146.95 42.18
Element x y z (fractional)
Os  0.750  0.250  0.500
Pb  0.923  0.923  0.000
Pb  0.577  0.577  0.000
Sb  0.250  0.750  0.500

***

VASP calculation (PBE-GGA) on CuGe2I2 after structural relaxation.

Summary:
Energy relative to the elements, uncorrected   0.288 eV per atom
Density   5.49 g cm⁻³
Fermi-level density of states   0.6080 states/eV per atom

Lattice parameters (Å, degrees): 7.193 7.193 5.405 90.00 90.00 90.00
Element x y z (fractional)
I  0.180  0.680  0.500
I  0.680  0.820  0.500
I  0.820  0.320  0.500
I  0.320  0.180  0.500
Ge  0.275  0.775  0.000
Ge  0.775  0.725  0.000
Ge  0.725  0.225  0.000
Ge  0.225  0.275  0.000
Cu  0.000  0.000  0.000
Cu  0.500  0.500  0.000

***

VASP calculation (PBE-GGA) on CdTe2Pb after structural relaxation.

Summary:
Energy relative to the elements, uncorrected   0.075 eV per atom
Density   7.89 g cm⁻³
Fermi-level density of states   0.5619 states/eV per atom

Lattice parameters (Å, degrees): 3.488 3.488 10.272 90.00 90.00 104.54
Element x y z (fractional)
Pb  0.500  0.500  0.734
Te  0.000  0.000  0.971
Te  0.500  0.500  0.296
Cd  0.000  0.000  0.499

***

> Among the records above, which one has the highest Fermi-level density of states?

Tb4CeY4

***

> What is the Fermi-level density of states in the ninth record?

1.6920 states/eV per atom